<w>
Ca3P: optimized geometry, PBEsol.

Results
For the size of the total moment, the calculation gives 0.0 μB/cell.

abc: 4.0969 4.0969 29.7959
angles: 90.00 90.00 120.00
Space group R-3m (No. 166, hexagonal axes)
Inequivalent atoms, fractional coordinates:
1 Ca 0.0000 0.0000 0.0000
2 Ca 0.0000 0.0000 0.2159
3 P 0.0000 0.0000 0.5000

***

<x>
Ca3P: optimized geometry, PBEsol.

Results
For the size of the total moment, the calculation gives 0.0 μB/cell.

abc: 5.532 5.532 5.532
angles: 90.00 90.00 90.00
Space group Pm-3m (No. 221)
Inequivalent atoms, fractional coordinates:
1 Ca 0.000 0.000 0.500
2 P 0.000 0.000 0.000

***

Tell me which of them is the least stable. Sure, it is <x>.

***

<w>
CaPPb3: optimized geometry, PBEsol.

Results
For the size of the total moment, the calculation gives 0.8 μB/cell.

abc: 5.664 5.664 5.664
angles: 90.00 90.00 90.00
Space group Pm-3m (No. 221)
Inequivalent atoms, fractional coordinates:
1 Ca 0.000 0.000 0.000
2 P 0.500 0.500 0.500
3 Pb 0.000 0.000 0.500

***

<x>
CaPPb3: optimized geometry, PBEsol.

Results
For the size of the total moment, the calculation gives 0.0 μB/cell.

abc: 5.411 5.411 5.411
angles: 90.00 90.00 90.00
Space group Pm-3m (No. 221)
Inequivalent atoms, fractional coordinates:
1 Ca 0.000 0.000 0.000
2 P 0.500 0.500 0.500
3 Pb 0.000 0.500 0.500

***

Tell me which of them is the least stable. Sure, it is <w>.

***

<w>
Ca2PPt: optimized geometry, PBEsol.

Results
For the size of the total moment, the calculation gives 0.0 μB/cell.

abc: 6.740 6.740 6.740
angles: 90.00 90.00 90.00
Space group F-43m (No. 216)
Inequivalent atoms, fractional coordinates:
1 Ca 0.000 0.000 0.000
2 Ca 0.250 0.250 0.250
3 P 0.250 0.250 0.750
4 Pt 0.000 0.000 0.500

***

<x>
Ca2PPt: optimized geometry, PBEsol.

Results
For the size of the total moment, the calculation gives 0.0 μB/cell.

abc: 4.279 4.284 9.760
angles: 90.00 90.00 90.00
Space group Amm2 (No. 38)
Inequivalent atoms, fractional coordinates:
1 Ca 0.000 0.000 0.000
2 Ca 0.500 0.000 0.291
3 P 0.000 0.000 0.697
4 Pt 0.500 0.000 0.591

***

Tell me which of them is the least stable. Sure, it is <w>.